## KAlCrO4 (PBE with a Hubbard U)

Data for KAlCrO4 after structural relaxation.

For the calculated volume, the calculation gives 13.76 Å³/atom. The value obtained for the raw total energy is -91.8 eV for the cell shown.

The space group is P2_1/m (No. 11) and the conventional cell measures 5.2519, 5.3495 and 7.0094 Å, with angles of 90.00, 101.97 and 90.00 degrees. Symmetry generates all atoms from K at (0.1488, 0.2500, 0.1004), Al at (0.3866, 0.2500, 0.6538), Cr at (0.1584, 0.7500, 0.4606), O at (0.1371, 0.0180, 0.6618), O at (0.2882, 0.7500, 0.2146) and O at (0.4871, 0.2500, 0.4273).